A relaxed structure of NiAgAu2, computed with PBE.

Lattice parameters (Å, degrees): 2.8959 4.6721 4.8332 90.00 90.00 90.00
Sites, in units of the cell vectors:
Ni  0.0000  0.0000  0.0000
Ag  0.0000  0.5000  0.6403
Au  0.5000  0.0000  0.4920
Au  0.5000  0.5000  0.1275

Values from the calculation:
Formation energy (eV per atom): 0.10
Energy relative to the lowest polymorph listed for this composition (eV/f.u.): 0.294
VASP energy (eV/atom): -3.696
Total magnetic moment (μB/f.u.): 0.2
SG: Pmm2

A relaxed structure of Fe2SiHg, computed with PBE.

Lattice parameters (Å, degrees): 2.8400 3.9993 5.2411 90.00 90.00 90.00
Sites, in units of the cell vectors:
Fe  0.0000  0.0000  0.0000
Fe  0.0000  0.5000  0.2671
Si  0.5000  0.0000  0.3574
Hg  0.5000  0.5000  0.7500

Values from the calculation:
Energy relative to the lowest polymorph listed for this composition (eV/f.u.): 0.642
VASP energy (eV/atom): -5.424
Total magnetic moment (μB/f.u.): 4.5
SG: Pmm2
Energy relative to the elements, uncorrected (eV/f.u.): 0.95

A relaxed structure of Cs3Na2ErBr9, computed with PBE.

Lattice parameters (Å, degrees): 8.0062 8.0062 10.2533 90.00 90.00 120.00
Sites, in units of the cell vectors:
Cs  0.0000  0.0000  0.0000
Cs  0.3333  0.6667  0.6733
Cs  0.6667  0.3333  0.3267
Na  0.3333  0.6667  0.1725
Na  0.6667  0.3333  0.8275
Er  0.0000  0.0000  0.5000
Br  0.0000  0.5000  0.0000
Br  0.1626  0.3253  0.3434
Br  0.1626  0.8374  0.3434
Br  0.3253  0.1626  0.6566
Br  0.5000  0.0000  0.0000
Br  0.5000  0.5000  0.0000
Br  0.6747  0.8374  0.3434
Br  0.8374  0.1626  0.6566
Br  0.8374  0.6747  0.6566

Values from the calculation:
VASP energy (eV/atom): -3.269
Total magnetic moment (μB/f.u.): 0.9
SG: P-3m1
Energy relative to the elements, uncorrected (eV/f.u.): -24.22